Entry 1:
MnIrOsPb2: optimized geometry, PBE.

Summary:
DFT formation energy in kJ per mole of atoms: 156.4
Theoretical density in g/cm3: 13.0
Volume in A^3/atom: 21.8

Unit cell a=4.9592 b=4.9592 c=4.4380 alpha=90.00 beta=90.00 gamma=90.00
Element x y z (fractional)
1 Mn 0.0000 0.0000 0.0000
2 Ir 0.0000 0.0000 0.5000
3 Os 0.5000 0.5000 0.5000
4 Pb 0.0000 0.5000 0.0000
5 Pb 0.5000 0.0000 0.0000

Entry 2:
MnIr2OsPt: optimized geometry, PBE.

Summary:
DFT formation energy in kJ per mole of atoms: 145.6
Theoretical density in g/cm3: 16.0
Volume in A^3/atom: 17.1

Unit cell a=4.4176 b=4.4176 c=4.3760 alpha=90.00 beta=90.00 gamma=90.00
Element x y z (fractional)
1 Mn 0.0000 0.0000 0.0000
2 Ir 0.0000 0.5000 0.0000
3 Ir 0.5000 0.0000 0.0000
4 Os 0.0000 0.0000 0.5000
5 Pt 0.5000 0.5000 0.5000

What did we get for magnetization? Answer: 1.53, 0.00 μB/f.u., in the order shown.